(1)
This record from Alexandria via LeMat-Bulk describes a geometry-optimized BaLi3Sn2 structure. The functional is PBE-GGA.

It has space group C2/m (No. 12), with a = 17.7754 Å, b = 4.8914 Å, c = 7.9740 Å, α = 90.00°, β = 115.18° and γ = 90.00°. Symmetry generates all atoms from Ba at (0.1558, 0.0000, 0.0891), Li at (0.0115, 0.0000, 0.3484), Li at (0.0906, 0.5000, 0.6382), Li at (0.1899, 0.5000, 0.4524), Sn at (0.0202, 0.5000, 0.1904) and Sn at (0.1733, 0.0000, 0.6393).

The value obtained for the calculated total energy is -72.86 eV for the cell shown. The relative energy among the computed polymorphs is 2.8 kJ per mole of atoms. For the formation energy, the calculation gives -0.424 eV/atom.

(2)
This record from Alexandria via LeMat-Bulk describes a geometry-optimized Ga2Sn2Pt structure. The functional is PBE-GGA.

It has space group P4/mbm (No. 127), with a = 6.6156 Å, b = 6.6156 Å, c = 4.8801 Å, α = 90.00°, β = 90.00° and γ = 90.00°. Symmetry generates all atoms from Ga at (0.1405, 0.3595, 0.0000), Sn at (0.1767, 0.6767, 0.5000) and Pt at (0.0000, 0.0000, 0.0000).

The value obtained for the calculated total energy is -41.65 eV for the cell shown. The relative energy among the computed polymorphs is 0.0 kJ per mole of atoms. For the formation energy, the calculation gives -0.144 eV/atom.

(3)
This record from Alexandria via LeMat-Bulk describes a geometry-optimized CaGe2 structure. The functional is PBE-GGA.

It has space group R-3m (No. 166, hexagonal axes), with a = 4.0089 Å, b = 4.0089 Å, c = 15.7984 Å, α = 90.00°, β = 90.00° and γ = 120.00°. Symmetry generates all atoms from Ca at (0.0000, 0.0000, 0.0000) and Ge at (0.0000, 0.0000, 0.2021).

The value obtained for the calculated total energy is -38.10 eV for the cell shown. For the formation energy, the calculation gives -0.488 eV/atom.

Listing DOS at the Fermi energy for the structures above in their given order: 11.65 3.05 1.29 states/eV/cell.